Na3LiTh3Se8 | PBE | relaxed

Unit cell a=8.5076 b=8.5072 c=8.5184 alpha=119.96 beta=90.00 gamma=120.00
Fractional coordinates of all 15 atoms:
Se: 0.7568 0.5136 0.2772
Se: 0.2637 0.0204 0.2772
Se: 0.7363 0.9796 0.7228
Se: 0.7475 0.4950 0.7425
Se: 0.7567 0.0204 0.2772
Se: 0.2432 0.4864 0.7228
Se: 0.2433 0.9796 0.7228
Se: 0.2525 0.5050 0.2575
Li: 0.0000 0.0000 0.5000
Th: 0.0000 0.5000 0.5000
Th: 0.5000 0.0000 0.5000
Th: 0.5000 0.5000 0.5000
Na: 0.5000 0.5000 0.0000
Na: 0.0000 0.5000 0.0000
Na: 0.0000 0.0000 0.0000

ΔE_f (raw): -22.5 eV/f.u.
magnetization: 0.000 μB/cell
mass density: 5.3 Mg/m³
total energy: -78.53 eV for the cell shown



Na3LiTi3Se8 | PBE | relaxed

Unit cell a=7.4639 b=7.4600 c=8.2433 alpha=116.89 beta=90.02 gamma=119.99
Fractional coordinates of all 15 atoms:
Ti: 0.0000 0.5000 0.5000
Ti: 0.5000 0.5000 0.5000
Ti: 0.5000 0.0000 0.5000
Se: 0.2436 0.9644 0.7077
Se: 0.7208 0.9643 0.7077
Se: 0.2792 0.0357 0.2923
Se: 0.7565 0.5129 0.2922
Se: 0.7564 0.0356 0.2923
Se: 0.7375 0.4749 0.7124
Se: 0.2625 0.5251 0.2876
Se: 0.2435 0.4871 0.7078
Li: 0.0000 0.0000 0.5000
Na: 0.0000 0.0000 0.0000
Na: 0.0000 0.5000 0.0000
Na: 0.5000 0.5000 0.0000

ΔE_f (raw): -16.3 eV/f.u.
magnetization: 0.001 μB/cell
mass density: 4.2 Mg/m³
total energy: -73.74 eV for the cell shown



Na2LiUSe4 | PBE | relaxed

Unit cell a=4.1569 b=6.9074 c=7.2514 alpha=108.02 beta=90.00 gamma=90.00
Site moments in Bohr magnetons follow the coordinates.
Fractional coordinates of all 8 atoms:
Na: 0.0000 0.5000 0.5000  0.00
Na: 0.5000 0.0000 0.5000  0.00
U: 0.0000 0.0000 0.0000  1.27
Li: 0.5000 0.5000 0.0000  0.00
Se: 0.5000 0.2384 0.2221  -0.05
Se: 0.0000 0.2462 0.7788  -0.06
Se: 0.5000 0.7616 0.7779  -0.05
Se: 0.0000 0.7538 0.2212  -0.06

ΔE_f (raw): -9.3 eV/f.u.
magnetization: 1.000 μB/cell
mass density: 5.1 Mg/m³
total energy: -39.12 eV for the cell shown



Na2LiU2Se6 | PBE | relaxed

Unit cell a=7.1609 b=7.1609 c=7.3252 alpha=98.87 beta=98.87 gamma=120.80
Site moments in Bohr magnetons follow the coordinates.
Fractional coordinates of all 11 atoms:
U: 0.3351 0.6649 0.5000  1.71
U: 0.6649 0.3351 0.5000  1.71
Se: 0.2687 0.2687 0.2805  -0.07
Se: 0.5817 0.9316 0.2787  -0.07
Se: 0.4183 0.0684 0.7213  -0.07
Se: 0.9316 0.5817 0.2787  -0.07
Se: 0.7313 0.7313 0.7195  -0.07
Se: 0.0684 0.4183 0.7213  -0.07
Na: 0.1621 0.8379 0.0000  0.00
Na: 0.8379 0.1621 0.0000  0.00
Li: 0.0000 0.0000 0.5000  0.00

ΔE_f (raw): -13.0 eV/f.u.
magnetization: 3.000 μB/cell
mass density: 5.4 Mg/m³
total energy: -61.04 eV for the cell shown